(1)
Below is an optimized crystal structure of Ce2PuGa2, with properties calculated at the PBE level.

Unit cell a=5.6988 b=5.6988 c=10.2726 alpha=100.79 beta=100.79 gamma=45.02
Closest atoms and distances in Å follow each position.
Fractional positions:
Ce1 0.0945 0.0945 0.3756  7 Ga 3.07-3.24, 3 Pu 3.36-3.41, 1 Ce 3.39
Ce2 0.1592 0.1592 0.0660  2 Pu 2.90, 5 Ga 3.16-3.25
Ce3 0.8408 0.8408 0.9340  2 Pu 2.90, 5 Ga 3.16-3.25
Ce4 0.9055 0.9055 0.6244  7 Ga 3.07-3.24, 3 Pu 3.36-3.41, 1 Ce 3.39
Pu1 0.2288 0.2288 0.7621  2 Ce 2.90, 5 Ga 2.93-3.21
Pu2 0.7712 0.7712 0.2379  2 Ce 2.90, 5 Ga 2.93-3.21
Ga1 0.3910 0.3910 0.4109  2 Ga 2.63-2.89, 2 Pu 2.93
Ga2 0.4645 0.4645 0.1550  1 Ga 2.89, 3 Ce 3.16-3.23, 3 Pu 3.17-3.21
Ga3 0.5355 0.5355 0.8450  1 Ga 2.89, 3 Ce 3.16-3.23, 3 Pu 3.17-3.21
Ga4 0.6090 0.6090 0.5891  2 Ga 2.63-2.89, 2 Pu 2.93

Values from the calculation:
- DOS(E_F) (states/eV/atom) = 1.560
- energy of formation (eV per atom) = -0.371
- size of the total moment (μB/f.u.) = 6.44
- energy above the lowest structure with this stoichiometry (meV per atom) = 0
- SG = C2/m (12)

=====

(2)
Below is an optimized crystal structure of Ce8Pu3Ga2, with properties calculated at the PBE level.

Unit cell a=8.2882 b=8.2882 c=6.2811 alpha=102.46 beta=102.46 gamma=54.69
Closest atoms and distances in Å follow each position.
Fractional positions:
Ce1 0.0922 0.0922 0.4253  2 Pu 2.59
Ce2 0.1642 0.6339 0.1057  2 Pu 2.52-2.56
Ce3 0.3661 0.8358 0.8943  2 Pu 2.52-2.56
Ce4 0.3880 0.3880 0.5863  3 Pu 2.53-2.72
Ce5 0.6120 0.6120 0.4137  3 Pu 2.53-2.72
Ce6 0.6339 0.1642 0.1057  2 Pu 2.52-2.56
Ce7 0.8358 0.3661 0.8943  2 Pu 2.52-2.56
Ce8 0.9078 0.9078 0.5747  2 Pu 2.59
Pu1 0.2735 0.7265 0.5000  6 Ce 2.53-2.59
Pu2 0.5000 0.5000 0.0000  6 Ce 2.52-2.72
Pu3 0.7265 0.2735 0.5000  6 Ce 2.53-2.59
Ga1 0.2365 0.2365 0.1540  6 Ce 3.02-3.07
Ga2 0.7635 0.7635 0.8460  6 Ce 3.02-3.07

Values from the calculation:
- DOS(E_F) (states/eV/atom) = 1.427
- energy of formation (eV per atom) = 0.115
- size of the total moment (μB/f.u.) = 0.00
- energy above the lowest structure with this stoichiometry (meV per atom) = 120
- SG = C2/m (12)

=====

(3)
Below is an optimized crystal structure of CePu3Ga8, with properties calculated at the PBE level.

Unit cell a=5.6185 b=5.6185 c=8.6863 alpha=90.00 beta=90.00 gamma=120.00
Closest atoms and distances in Å follow each position.
Fractional positions:
Ce1 0.0000 0.0000 0.0000  1 Pu 2.86, 6 Ga 3.16
Pu1 0.0000 0.0000 0.3291  1 Ce 2.86, 6 Ga 3.15
Pu2 0.6667 0.3333 0.4935  1 Pu 2.95, 9 Ga 3.17-3.23
Pu3 0.6667 0.3333 0.8336  1 Pu 2.95, 9 Ga 3.18-3.27
Ga1 0.1583 0.3167 0.6617  6 Ga 2.67-2.95
Ga2 0.1583 0.8417 0.6617  6 Ga 2.67-2.95
Ga3 0.3333 0.6667 0.4135  6 Ga 2.74-2.75
Ga4 0.3333 0.6667 0.9137  6 Ga 2.77-2.78
Ga5 0.5086 0.0173 0.1665  6 Ga 2.66-2.95
Ga6 0.5086 0.4914 0.1665  6 Ga 2.66-2.95
Ga7 0.6833 0.8417 0.6617  6 Ga 2.67-2.95
Ga8 0.9827 0.4914 0.1665  6 Ga 2.66-2.95

Values from the calculation:
- DOS(E_F) (states/eV/atom) = 2.158
- energy of formation (eV per atom) = -0.419
- size of the total moment (μB/f.u.) = 5.43
- energy above the lowest structure with this stoichiometry (meV per atom) = 10
- SG = P3m1 (156)

=====

(4)
Below is an optimized crystal structure of Ce4Pu2Ga3, with properties calculated at the PBE level.

Unit cell a=6.1192 b=6.1192 c=9.2686 alpha=117.18 beta=117.18 gamma=46.04
Closest atoms and distances in Å follow each position.
Fractional positions:
Ce1 0.1041 0.1041 0.3915  2 Pu 2.81, 3 Ga 3.04-3.10
Ce2 0.2696 0.2696 0.8603  1 Pu 2.65
Ce3 0.7304 0.7304 0.1397  1 Pu 2.65
Ce4 0.8959 0.8959 0.6085  2 Pu 2.81, 3 Ga 3.04-3.10
Pu1 0.4712 0.4712 0.7904  3 Ce 2.65-2.81, 1 Ga 2.93
Pu2 0.5288 0.5288 0.2096  3 Ce 2.65-2.81, 1 Ga 2.93
Ga1 0.0000 0.0000 0.0000  4 Pu 3.00, 6 Ce 3.21-3.29
Ga2 0.3699 0.3699 0.3811  1 Ga 2.65, 1 Pu 2.93
Ga3 0.6301 0.6301 0.6189  1 Ga 2.65, 1 Pu 2.93

Values from the calculation:
- DOS(E_F) (states/eV/atom) = 1.580
- energy of formation (eV per atom) = -0.339
- size of the total moment (μB/f.u.) = 13.06
- energy above the lowest structure with this stoichiometry (meV per atom) = 0
- SG = C2/m (12)

=====

> The lowest energy of formation belongs to which entry?

CePu3Ga8

=====

> Number 1 is which compound?

Ce2PuGa2

=====

> The lowest DOS(E_F) belongs to which entry?

Ce8Pu3Ga2

=====

> Look up the energy above the lowest structure with this stoichiometry of the first one.

0 meV per atom